! TaTlBr3, optimized geometry, DFT PBE; values from VASP
! Symmetry: Pm-3m (221)
! Fermi-level density of states in states/eV per atom: 1.8334
! Formation energy (no corrections) in eV/atom: 0.921
! Mass density in Mg/m³: 5.57
! Spin magnetization in μB/cell: 3.9
! Distance to the lowest polymorph of the same formula in kJ/mol of formula units: 545
&SYSTEM
  ibrav = 0, nat = 5, ntyp = 3
/
ATOMIC_SPECIES
Ta 180.95 Ta.upf
Tl 204.38 Tl.upf
Br 79.90 Br.upf
CELL_PARAMETERS angstrom
5.7124 0.0000 0.0000
0.0000 5.7124 0.0000
0.0000 0.0000 5.7124
ATOMIC_POSITIONS angstrom
Ta 0.0000 0.0000 0.0000
Tl 2.8562 2.8562 2.8562
Br 0.0000 2.8562 2.8562
Br 2.8562 0.0000 2.8562
Br 2.8562 2.8562 0.0000


! Ta2TlBr, optimized geometry, DFT PBE; values from VASP
! Symmetry: R-3m (166)
! Fermi-level density of states in states/eV per atom: 0.4017
! Formation energy (no corrections) in eV/atom: 0.542
! Mass density in Mg/m³: 13.62
! Spin magnetization in μB/cell: 0.0
! Distance to the lowest polymorph of the same formula in kJ/mol of formula units: 135
&SYSTEM
  ibrav = 0, nat = 4, ntyp = 3
/
ATOMIC_SPECIES
Ta 180.95 Ta.upf
Tl 204.38 Tl.upf
Br 79.90 Br.upf
CELL_PARAMETERS angstrom
1.5531 0.8967 9.4287
-1.5531 0.8967 9.4287
0.0000 -1.7933 9.4287
ATOMIC_POSITIONS angstrom
Ta 0.0000 0.0000 6.9406
Ta 0.0000 0.0000 21.3455
Tl 0.0000 0.0000 0.0000
Br 0.0000 0.0000 14.1431


! Ta2VBr, optimized geometry, DFT PBE; values from VASP
! Symmetry: Fm-3m (225)
! Fermi-level density of states in states/eV per atom: 0.8405
! Formation energy (no corrections) in eV/atom: 0.836
! Mass density in Mg/m³: 11.83
! Spin magnetization in μB/cell: 0.0
! Distance to the lowest polymorph of the same formula in kJ/mol of formula units: 0
&SYSTEM
  ibrav = 0, nat = 4, ntyp = 3
/
ATOMIC_SPECIES
Ta 180.95 Ta.upf
V 50.94 V.upf
Br 79.90 Br.upf
CELL_PARAMETERS angstrom
0.0000 3.2578 3.2578
3.2578 0.0000 3.2578
3.2578 3.2578 0.0000
ATOMIC_POSITIONS angstrom
Ta 1.6289 1.6289 1.6289
Ta 4.8867 4.8867 4.8867
V 0.0000 0.0000 0.0000
Br 3.2578 3.2578 3.2578


! TaVBr, optimized geometry, DFT PBE; values from VASP
! Symmetry: C2/m (12)
! Fermi-level density of states in states/eV per atom: 0.7298
! Formation energy (no corrections) in eV/atom: 0.019
! Mass density in Mg/m³: 6.91
! Spin magnetization in μB/cell: 0.0
&SYSTEM
  ibrav = 0, nat = 6, ntyp = 3
/
ATOMIC_SPECIES
Ta 180.95 Ta.upf
V 50.94 V.upf
Br 79.90 Br.upf
CELL_PARAMETERS angstrom
4.9462 -1.6440 0.0000
4.9462 1.6440 0.0000
-4.3568 0.0000 9.2192
ATOMIC_POSITIONS angstrom
Ta -0.4887 0.0000 3.6555
Ta 6.0242 0.0000 5.5637
V 2.0921 0.0000 3.7462
V 3.4434 0.0000 5.4729
Br 3.6375 0.0000 1.6111
Br 1.8980 0.0000 7.6081


! Ta2VBr, optimized geometry, DFT PBE; values from VASP
! Symmetry: I-42d (122)
! Fermi-level density of states in states/eV per atom: 1.2354
! Formation energy (no corrections) in eV/atom: 0.908
! Mass density in Mg/m³: 10.76
! Spin magnetization in μB/cell: 3.5
! Distance to the lowest polymorph of the same formula in kJ/mol of formula units: 28
&SYSTEM
  ibrav = 0, nat = 8, ntyp = 3
/
ATOMIC_SPECIES
Ta 180.95 Ta.upf
V 50.94 V.upf
Br 79.90 Br.upf
CELL_PARAMETERS angstrom
-1.9606 1.9606 9.8895
1.9606 -1.9606 9.8895
1.9606 1.9606 -9.8895
ATOMIC_POSITIONS angstrom
Ta 2.9409 0.9581 -2.4724
Ta 0.9581 0.9803 2.4724
Ta -0.9803 1.0025 7.4171
Ta 1.0025 0.9803 12.3618
V 0.0000 0.0000 0.0000
V 0.0000 1.9606 4.9447
Br 1.9606 0.0000 4.9447
Br 0.0000 0.0000 9.8895


! TaVBr2, optimized geometry, DFT PBE; values from VASP
! Symmetry: Fm-3m (225)
! Fermi-level density of states in states/eV per atom: 0.8599
! Formation energy (no corrections) in eV/atom: 0.726
! Mass density in Mg/m³: 9.15
! Spin magnetization in μB/cell: 3.5
! Distance to the lowest polymorph of the same formula in kJ/mol of formula units: 162
&SYSTEM
  ibrav = 0, nat = 4, ntyp = 3
/
ATOMIC_SPECIES
Ta 180.95 Ta.upf
V 50.94 V.upf
Br 79.90 Br.upf
CELL_PARAMETERS angstrom
0.0000 3.2876 3.2876
3.2876 0.0000 3.2876
3.2876 3.2876 0.0000
ATOMIC_POSITIONS angstrom
Ta 0.0000 0.0000 0.0000
V 3.2876 3.2876 3.2876
Br 1.6438 1.6438 1.6438
Br 4.9314 4.9314 4.9314


mass density of number 5 (Ta2VBr)? 10.76 Mg/m³